Compound: Tl3VO4
Source: Alexandria via LeMat-Bulk
Functional: PBE with a Hubbard U
Structure: relaxed

Offset from the most stable computed form (eV per formula unit): 0.00
Raw total energy (Ry per atom): -0.41309
Crystal system: orthorhombic

a = 6.0140 Å, b = 8.4449 Å, c = 6.6914 Å
α = 90.00°, β = 90.00°, γ = 90.00°
Last column: nearest neighbours and their distance in Å.
Space group Imm2 (No. 44)
Asymmetric unit:
1 Tl 0.0000 0.0000 0.0000 x2  4 O 2.56-2.86
2 Tl 0.0000 0.2329 0.5429 x4  3 O 2.54-2.69
3 V 0.0000 0.5000 0.0490 x2  4 O 1.74-1.76
4 O 0.0000 0.3298 0.9025 x4  1 V 1.74
5 O 0.2446 0.5000 0.1949 x4  1 V 1.76